Record 1
{"formula": "TlIn2Co", "functional": "GGA-PBE", "state": "relaxed", "formation_enthalpy_0k_ev_per_fu": 1.9, "dos_at_fermi_per_ev_cell": 4.14, "volume_a3_per_cell": 87, "energy_ev_per_atom": -3.262, "relative_energy_ev_per_atom": 0.323, "lattice_angstrom": [[4.363, 0.000, 0.000], [0.000, 4.363, 0.000], [0.000, 0.000, 4.577]], "species": ["Tl", "In", "In", "Co"], "frac_coords": [[0.000, 0.000, 0.000], [0.000, 0.500, 0.500], [0.500, 0.000, 0.500], [0.500, 0.500, 0.000]]}

***

Record 2
{"formula": "InGe3Sb", "functional": "GGA-PBE", "state": "relaxed", "dos_at_fermi_per_ev_cell": 3.20, "volume_a3_per_cell": 155, "energy_ev_per_atom": -3.328, "relative_energy_ev_per_atom": 0.000, "lattice_angstrom": [[5.370, 0.000, 0.000], [0.000, 5.370, 0.000], [0.000, 0.000, 5.370]], "species": ["In", "Ge", "Ge", "Ge", "Sb"], "frac_coords": [[0.000, 0.000, 0.000], [0.000, 0.500, 0.500], [0.500, 0.000, 0.500], [0.500, 0.500, 0.000], [0.500, 0.500, 0.500]]}

***

Record 3
{"formula": "RbSb4Pd9", "functional": "GGA-PBE", "state": "relaxed", "dos_at_fermi_per_ev_cell": 17.08, "volume_a3_per_cell": 552, "energy_ev_per_atom": -4.964, "lattice_angstrom": [[-4.503, 4.503, 6.803], [4.503, -4.503, 6.803], [4.503, 4.503, -6.803]], "species": ["Rb", "Rb", "Sb", "Sb", "Sb", "Sb", "Sb", "Sb", "Sb", "Sb", "Pd", "Pd", "Pd", "Pd", "Pd", "Pd", "Pd", "Pd", "Pd", "Pd", "Pd", "Pd", "Pd", "Pd", "Pd", "Pd", "Pd", "Pd"], "frac_coords": [[0.250, 0.250, 0.000], [0.750, 0.750, 0.000], [0.051, 0.551, 0.843], [0.208, 0.051, 0.500], [0.292, 0.792, 0.843], [0.449, 0.292, 0.500], [0.551, 0.708, 0.500], [0.708, 0.208, 0.157], [0.792, 0.949, 0.500], [0.949, 0.449, 0.157], [0.000, 0.500, 0.500], [0.058, 0.813, 0.500], [0.073, 0.203, 0.276], [0.187, 0.687, 0.246], [0.203, 0.927, 0.131], [0.297, 0.427, 0.724], [0.313, 0.558, 0.500], [0.427, 0.703, 0.131], [0.442, 0.942, 0.754], [0.500, 0.000, 0.500], [0.558, 0.058, 0.246], [0.573, 0.297, 0.869], [0.687, 0.442, 0.500], [0.703, 0.573, 0.276], [0.797, 0.073, 0.869], [0.813, 0.313, 0.754], [0.927, 0.797, 0.724], [0.942, 0.187, 0.500]]}

***

Record 4
{"formula": "Ba6Ge2BrCl3", "functional": "GGA-PBE", "state": "relaxed", "dos_at_fermi_per_ev_cell": 2.93, "volume_a3_per_cell": 463, "energy_ev_per_atom": -3.769, "lattice_angstrom": [[10.355, -2.394, 0.000], [10.355, 2.394, 0.000], [-1.841, 0.000, 9.332]], "species": ["Ba", "Ba", "Ba", "Ba", "Ba", "Ba", "Ge", "Ge", "Br", "Cl", "Cl", "Cl"], "frac_coords": [[0.010, 0.010, 0.263], [0.326, 0.326, 0.898], [0.328, 0.328, 0.430], [0.672, 0.672, 0.570], [0.674, 0.674, 0.102], [0.990, 0.990, 0.737], [0.162, 0.162, 0.323], [0.838, 0.838, 0.677], [0.500, 0.500, 0.000], [0.160, 0.160, 0.833], [0.500, 0.500, 0.500], [0.840, 0.840, 0.167]]}

***

Record 5
{"formula": "ErTm4Mg2", "functional": "GGA-PBE", "state": "relaxed", "formation_enthalpy_0k_ev_per_fu": 0.5, "dos_at_fermi_per_ev_cell": 9.93, "volume_a3_per_cell": 199, "energy_ev_per_atom": -3.591, "relative_energy_ev_per_atom": 0.035, "lattice_angstrom": [[2.685, 1.550, 7.956], [-2.685, 1.550, 7.956], [0.000, -3.100, 7.956]], "species": ["Er", "Tm", "Tm", "Tm", "Tm", "Mg", "Mg"], "frac_coords": [[0.000, 0.000, 0.000], [0.291, 0.291, 0.291], [0.431, 0.431, 0.431], [0.569, 0.569, 0.569], [0.709, 0.709, 0.709], [0.148, 0.148, 0.148], [0.852, 0.852, 0.852]]}

***

Record 6
{"formula": "KCuTeI5", "functional": "GGA-PBE", "state": "relaxed", "dos_at_fermi_per_ev_cell": 1.26, "volume_a3_per_cell": 718, "energy_ev_per_atom": -2.436, "lattice_angstrom": [[5.167, -6.263, 0.000], [5.167, 6.263, 0.000], [-4.487, 0.000, 11.092]], "species": ["K", "K", "Cu", "Cu", "Te", "Te", "I", "I", "I", "I", "I", "I", "I", "I", "I", "I"], "frac_coords": [[0.086, 0.914, 0.750], [0.914, 0.086, 0.250], [0.451, 0.549, 0.750], [0.549, 0.451, 0.250], [0.000, 0.500, 0.000], [0.500, 0.000, 0.500], [0.191, 0.809, 0.250], [0.226, 0.295, 0.119], [0.295, 0.226, 0.619], [0.299, 0.659, 0.918], [0.341, 0.701, 0.582], [0.659, 0.299, 0.418], [0.701, 0.341, 0.082], [0.705, 0.774, 0.381], [0.774, 0.705, 0.881], [0.809, 0.191, 0.750]]}

***

Record 7
{"formula": "K2TiBi2", "functional": "GGA-PBE", "state": "relaxed", "formation_enthalpy_0k_ev_per_fu": -0.5, "dos_at_fermi_per_ev_cell": 5.72, "volume_a3_per_cell": 349, "energy_ev_per_atom": -3.668, "lattice_angstrom": [[7.668, 0.000, 0.000], [0.000, 7.668, 0.000], [0.000, 0.000, 5.933]], "species": ["K", "K", "K", "K", "Ti", "Ti", "Bi", "Bi", "Bi", "Bi"], "frac_coords": [[0.165, 0.335, 0.000], [0.335, 0.835, 0.000], [0.665, 0.165, 0.000], [0.835, 0.665, 0.000], [0.000, 0.000, 0.500], [0.500, 0.500, 0.500], [0.149, 0.649, 0.500], [0.351, 0.149, 0.500], [0.649, 0.851, 0.500], [0.851, 0.351, 0.500]]}

***

Record 8
{"formula": "Ti2SnAs2", "functional": "GGA-PBE", "state": "relaxed", "formation_enthalpy_0k_ev_per_fu": -1.9, "dos_at_fermi_per_ev_cell": 2.34, "volume_a3_per_cell": 94, "energy_ev_per_atom": -6.204, "relative_energy_ev_per_atom": 0.103, "lattice_angstrom": [[-1.866, 1.866, 6.765], [1.866, -1.866, 6.765], [1.866, 1.866, -6.765]], "species": ["Ti", "Ti", "Sn", "As", "As"], "frac_coords": [[0.108, 0.108, 0.000], [0.892, 0.892, 0.000], [0.500, 0.500, 0.000], [0.250, 0.750, 0.500], [0.750, 0.250, 0.500]]}